(1)
PBE-GGA NaLuMgTe3, relaxed; space group = Cmcm, No. 63; E = -3.88 eV/atom
1.0
2.181 -7.458 0.000
2.181 7.458 0.000
0.000 0.000 11.625
Lu Mg Na Te
2 2 2 6
Direct
0.000 0.000 0.000
0.000 0.000 0.500
0.529 0.471 0.250
0.471 0.529 0.750
0.244 0.756 0.250
0.756 0.244 0.750
0.636 0.364 0.058
0.913 0.087 0.250
0.636 0.364 0.442
0.364 0.636 0.558
0.087 0.913 0.750
0.364 0.636 0.942



(2)
PBE-GGA Cs4ZnO3, relaxed; space group = P2_1/c, No. 14; E = -3.62 eV/atom
1.0
-3.496 -3.334 5.254
-11.985 -6.980 -12.403
5.227 -3.665 -2.989
Cs O Zn
16 12 4
Direct
0.154 0.924 0.155
0.210 0.304 0.177
0.295 0.499 0.207
0.674 0.195 0.217
0.326 0.695 0.283
0.705 0.999 0.293
0.790 0.804 0.323
0.846 0.424 0.345
0.154 0.576 0.655
0.210 0.196 0.677
0.295 0.001 0.707
0.674 0.305 0.717
0.326 0.805 0.783
0.705 0.501 0.793
0.790 0.696 0.823
0.846 0.076 0.845
0.511 0.336 0.020
0.310 0.099 0.030
0.965 0.593 0.190
0.035 0.093 0.310
0.690 0.599 0.470
0.489 0.836 0.480
0.511 0.164 0.520
0.310 0.401 0.530
0.965 0.907 0.690
0.035 0.407 0.810
0.690 0.901 0.970
0.489 0.664 0.980
0.713 0.617 0.212
0.287 0.117 0.288
0.713 0.883 0.712
0.287 0.383 0.788



(3)
PBE-GGA ErTmGa2, relaxed; space group = Cmcm, No. 63; E = -4.40 eV/atom
1.0
2.155 -6.503 0.000
2.155 6.503 0.000
0.000 0.000 6.549
Er Ga Tm
2 4 2
Direct
0.448 0.552 0.250
0.552 0.448 0.750
0.099 0.901 0.052
0.099 0.901 0.448
0.901 0.099 0.552
0.901 0.099 0.948
0.723 0.277 0.250
0.277 0.723 0.750



(4)
PBE-GGA SrTm2Al2, relaxed; space group = I4_1/amd, No. 141; E = -3.28 eV/atom
1.0
-2.851 2.851 8.069
2.851 -2.851 8.069
2.851 2.851 -8.069
Al Sr Tm
4 2 4
Direct
0.375 0.625 0.250
0.875 0.625 0.250
0.375 0.125 0.750
0.375 0.625 0.750
0.000 0.000 0.000
0.750 0.250 0.500
0.196 0.196 0.000
0.804 0.804 0.000
0.554 0.054 0.500
0.946 0.446 0.500



(5)
PBE-GGA LaTmGa2Ni4, relaxed; space group = P-6m2, No. 187; E = -5.27 eV/atom
1.0
-2.391 -1.694 2.974
-0.791 -0.798 -4.022
5.530 -7.207 0.341
Ga La Ni Tm
2 1 4 1
Direct
0.667 0.333 0.266
0.667 0.333 0.734
0.333 0.667 0.000
0.000 0.000 0.206
0.333 0.667 0.321
0.333 0.667 0.679
0.000 0.000 0.794
0.000 0.000 0.500



(6)
PBE-GGA NbTlCoAg, relaxed; space group = F-43m, No. 216; relative energy among the computed polymorphs = 0 meV/atom
1.0
-2.803 2.397 2.721
-2.605 3.334 -1.761
-4.537 -0.563 -0.318
Ag Co Nb Tl
1 1 1 1
Direct
0.250 0.250 0.250
0.750 0.750 0.750
0.500 0.500 0.500
0.000 0.000 0.000